Entry 1:
The following is a DFT calculation (PBE-GGA) of an optimized crystal structure of ErSc2Cu2Ge2.

Structure (POSCAR):
```
ErSc2Cu2Ge2
1.0
2.121 1.225 8.415
-2.121 1.225 8.415
0.000 -2.450 8.415
Er Sc Cu Ge
1 2 2 2
direct
0.000 0.000 0.000 Er
0.130 0.130 0.130 Sc
0.870 0.870 0.870 Sc
0.409 0.409 0.409 Cu
0.591 0.591 0.591 Cu
0.257 0.257 0.257 Ge
0.743 0.743 0.743 Ge
```

Properties
As for the density: 6.70 g/cm³. Its symmetry is R-3m, No. 166. The energy of formation from the pure elements comes out at -0.49 eV/atom. The value obtained for the spin magnetization is 0.0 μB per formula unit.

---

Entry 2:
The following is a DFT calculation (PBE-GGA) of an optimized crystal structure of ErScCuGe.

Structure (POSCAR):
```
ErScCuGe
1.0
6.789 0.000 0.000
0.000 6.789 0.000
0.000 0.000 6.789
Er Sc Cu Ge
4 4 4 4
direct
0.000 0.000 0.000 Er
0.000 0.500 0.500 Er
0.500 0.000 0.500 Er
0.500 0.500 0.000 Er
0.000 0.000 0.500 Sc
0.000 0.500 0.000 Sc
0.500 0.000 0.000 Sc
0.500 0.500 0.500 Sc
0.250 0.250 0.750 Cu
0.250 0.750 0.250 Cu
0.750 0.250 0.250 Cu
0.750 0.750 0.750 Cu
0.250 0.250 0.250 Ge
0.250 0.750 0.750 Ge
0.750 0.250 0.750 Ge
0.750 0.750 0.250 Ge
```

Properties
As for the density: 7.39 g/cm³. Its symmetry is F-43m, No. 216. The energy of formation from the pure elements comes out at -0.50 eV/atom. The value obtained for the spin magnetization is 0.0 μB per formula unit.

---

Entry 3:
The following is a DFT calculation (PBE-GGA) of an optimized crystal structure of Sm2ErCu2Ge2.

Structure (POSCAR):
```
Sm2ErCu2Ge2
1.0
2.114 1.220 10.190
-2.114 1.220 10.190
0.000 -2.441 10.190
Sm Er Cu Ge
2 1 2 2
direct
0.121 0.121 0.121 Sm
0.879 0.879 0.879 Sm
0.000 0.000 0.000 Er
0.389 0.389 0.389 Cu
0.611 0.611 0.611 Cu
0.273 0.273 0.273 Ge
0.727 0.727 0.727 Ge
```

Properties
As for the density: 7.79 g/cm³. Its symmetry is R-3m, No. 166. The energy of formation from the pure elements comes out at -0.50 eV/atom. The value obtained for the spin magnetization is 0.0 μB per formula unit.